The following is a DFT calculation (PBE-GGA) of an optimized crystal structure of TlHgPt2.

Cell: 3.0443 4.0992 6.0615 Å, 90.00 92.96 90.00°
Positions (direct):
Tl  0.0000  0.0000  0.0000
Hg  0.0000  0.0000  0.5000
Pt  0.4846  0.5000  0.2553
Pt  0.5154  0.5000  0.7447

Values from the calculation:
Density of states at the Fermi level   1.43 states/eV per cell
DFT formation energy   99 meV per atom